Entry 1:
A relaxed Mn2BeGe2 crystal, computed with PBE-GGA.

POSCAR file:
```
Mn2BeGe2
1.0
-3.7916 -4.1950 1.6552
1.9482 0.4266 5.5441
-2.5269 2.5566 0.6912
Mn Ge Be
4 4 2
Cartesian
0.0839 -0.5034 2.1689 Mn
-2.1817 -2.6819 1.9441 Mn
-1.9273 -3.2649 5.0304 Mn
0.3383 -1.0864 5.2552 Mn
-0.5807 0.8959 4.2557 Ge
-2.2519 -0.0886 1.7880 Ge
-3.7895 -2.1077 3.6348 Ge
-2.1184 -1.1232 6.1025 Ge
-0.9217 -1.8842 3.5996 Be
0.0000 0.0000 0.0000 Be
```

Values from the calculation:
The value obtained for the energy relative to the elements is 0.0820 eV per atom. Its calculated total energy is -61.780 eV for the cell shown. The calculation puts the density of states at the Fermi level at 4.867 states/eV per cell. Its distance to the lowest polymorph of the same formula is 0 meV per atom. The space-group type is No. 127.

---

Entry 2:
A relaxed MnBeGe crystal, computed with PBE-GGA.

POSCAR file:
```
MnBeGe
1.0
3.0188 0.0000 0.0000
0.0000 3.0188 0.0000
0.0000 0.0000 7.5086
Mn Be Ge
2 2 2
Cartesian
1.5094 0.0000 2.9965 Mn
0.0000 1.5094 4.5121 Mn
1.5094 0.0000 0.5420 Be
0.0000 1.5094 6.9666 Be
0.0000 1.5094 1.8014 Ge
1.5094 0.0000 5.7073 Ge
```

Values from the calculation:
The value obtained for the energy relative to the elements is 0.1662 eV per atom. Its calculated total energy is -34.029 eV for the cell shown. The calculation puts the density of states at the Fermi level at 4.056 states/eV per cell. The space-group type is No. 129.

---

Entry 3:
A relaxed MnBe2Ge crystal, computed with PBE-GGA.

POSCAR file:
```
MnBe2Ge
1.0
-1.1787 -0.8435 6.2818
-6.2415 -0.9574 -1.2997
-3.3018 -3.2400 2.2535
Be Mn Ge
4 2 2
Cartesian
-9.0294 -4.0151 6.0369 Be
-2.3538 -1.4650 4.3878 Be
-5.1985 -3.0961 3.5710 Be
-4.8623 -1.5057 0.4755 Be
-3.7101 -0.9004 2.4910 Mn
-6.6267 -2.5489 1.7224 Mn
-4.0953 -2.4920 5.5132 Ge
0.0000 0.0000 0.0000 Ge
```

Values from the calculation:
The value obtained for the energy relative to the elements is 0.4768 eV per atom. Its calculated total energy is -38.665 eV for the cell shown. The calculation puts the density of states at the Fermi level at 3.841 states/eV per cell. The space-group type is No. 122.

---

Q: The highest energy relative to the elements belongs to which entry?
A: MnBe2Ge

---

Q: What is the energy relative to the elements in the second record?
A: 0.1662 eV per atom

---

Please write out number 1 again, unchanged.
A relaxed Mn2BeGe2 crystal, computed with PBE-GGA.

POSCAR file:
```
Mn2BeGe2
1.0
-3.7916 -4.1950 1.6552
1.9482 0.4266 5.5441
-2.5269 2.5566 0.6912
Mn Ge Be
4 4 2
Cartesian
0.0839 -0.5034 2.1689 Mn
-2.1817 -2.6819 1.9441 Mn
-1.9273 -3.2649 5.0304 Mn
0.3383 -1.0864 5.2552 Mn
-0.5807 0.8959 4.2557 Ge
-2.2519 -0.0886 1.7880 Ge
-3.7895 -2.1077 3.6348 Ge
-2.1184 -1.1232 6.1025 Ge
-0.9217 -1.8842 3.5996 Be
0.0000 0.0000 0.0000 Be
```

Values from the calculation:
The value obtained for the energy relative to the elements is 0.0820 eV per atom. Its calculated total energy is -61.780 eV for the cell shown. The calculation puts the density of states at the Fermi level at 4.867 states/eV per cell. Its distance to the lowest polymorph of the same formula is 0 meV per atom. The space-group type is No. 127.